La2YMg | GGA-PBE | relaxed

## Properties
Energy relative to the elements ... 0.01 eV per atom
Crystal system ... monoclinic
M_tot ... 0.00 μB/f.u.

Structure (extended XYZ):
```
4
Lattice="6.268 0.015 -0.028 5.190 3.514 -0.028 1.227 0.378 5.877" Properties=species:S:1:pos:R:3 pbc="T T T"
La 11.366 3.500 0.025
La 6.434 1.982 2.828
Y 9.514 2.930 4.365
Mg 3.171 0.977 1.455
```

---

La3YMg | GGA-PBE | relaxed

## Properties
Energy relative to the elements ... -0.02 eV per atom
E above lowest polymorph ... 0 meV/atom
Crystal system ... monoclinic
M_tot ... 0.00 μB/f.u.

Structure (extended XYZ):
```
10
Lattice="-1.957 -3.202 -0.050 7.853 -4.830 1.958 1.316 1.244 9.777" Properties=species:S:1:pos:R:3 pbc="T T T"
Y 1.400 -0.922 4.296
Y 5.812 -5.865 7.390
Mg 4.757 -3.044 8.856
Mg 2.454 -3.743 2.829
La 2.141 -3.612 6.744
La 0.584 -0.479 7.873
La 5.071 -3.176 4.941
La 6.628 -6.309 3.812
La 5.724 -3.521 1.505
La 1.488 -3.266 10.181
```

---

LaY4Mg | GGA-PBE | relaxed

## Properties
Energy relative to the elements ... 0.26 eV per atom
E above lowest polymorph ... 272 meV/atom
Crystal system ... cubic
M_tot ... 0.00 μB/f.u.

Structure (extended XYZ):
```
6
Lattice="-0.113 -5.264 3.975 -5.433 -3.721 0.393 -0.031 -6.075 -2.572" Properties=species:S:1:pos:R:3 pbc="T T T"
La -4.183 -11.295 1.347
Mg 0.000 0.000 0.000
Y -4.807 -7.508 0.870
Y -2.107 -8.684 -0.611
Y -2.148 -8.279 2.660
Y -2.092 -5.649 0.674
```

---

What is the M_tot in the second record? 0.00 μB/f.u.